(1)
The following is a DFT calculation (PBE) of a relaxed structure of NbTcOs3.

Results
E above lowest polymorph   2.340 eV per atom
Calculated volume   104 Å³/cell

```
NbTcOs3
1.0
-3.5690 -0.6868 2.9729
0.9136 -4.6056 0.0328
2.9112 0.6033 3.6344
Nb Os Tc
1 3 1
direct
0.0000 0.0000 0.0000
0.0000 0.5000 0.0000
0.0000 0.0000 0.5000
0.5000 0.0000 0.0000
0.5000 0.5000 0.5000
```



(2)
The following is a DFT calculation (PBE) of a relaxed structure of Nb2TcOs.

Results
Calculated volume   146 Å³/cell

```
Nb2TcOs
1.0
-2.3047 -0.4186 -3.3528
0.9520 -3.9745 -0.1582
-7.6039 -4.0548 3.2383
Nb Os Tc
4 2 2
direct
0.6256 0.1250 0.2500
0.1244 0.6250 0.2500
0.3750 0.3744 0.7500
0.8750 0.8756 0.7500
0.0000 0.0000 0.0000
0.7500 0.2500 0.5000
0.5000 0.5000 0.0000
0.2500 0.7500 0.5000
```



(3)
The following is a DFT calculation (PBE) of a relaxed structure of Nb2TcOs.

Results
Calculated volume   65 Å³/cell

```
Nb2TcOs
1.0
-3.1748 0.1467 0.0217
-0.2111 -4.4696 -0.6661
-0.0002 -0.6668 4.4744
Nb Os Tc
2 1 1
direct
0.0000 0.0000 0.5000
0.0000 0.5000 0.0000
0.5000 0.5000 0.5000
0.5000 0.0000 0.0000
```



(4)
The following is a DFT calculation (PBE) of a relaxed structure of Nb5Tc4Os.

Results
Calculated volume   163 Å³/cell

```
Nb5Tc4Os
1.0
3.1902 0.0000 0.0000
0.0000 3.1902 0.0000
0.0000 0.0000 15.9817
Nb Tc Os
5 4 1
direct
0.5000 0.5000 0.1027
0.5000 0.5000 0.3008
0.5000 0.5000 0.5000
0.5000 0.5000 0.6992
0.5000 0.5000 0.8973
0.0000 0.0000 0.1997
0.0000 0.0000 0.4001
0.0000 0.0000 0.5999
0.0000 0.0000 0.8003
0.0000 0.0000 0.0000
```



Taking the records one at a time from the top gives E_form values of 2496; 800; -251; -312 meV/atom.
Taking the records one at a time from the top gives theoretical density values of 12.216; 10.768; 12.102; 10.687 g/cm³.